Record 1
Computed, not measured: a PBEsol-optimized structure of TaBN2O at the meta-GGA SCAN level of DFT.

It has space group P4/mmm (No. 123), with a = 3.440 Å, b = 3.440 Å, c = 3.172 Å, α = 90.00°, β = 90.00° and γ = 90.00°. The inequivalent atoms are Ta at (0.000, 0.000, 0.000), B at (0.500, 0.500, 0.500), N at (0.000, 0.500, 0.500) and O at (0.500, 0.500, 0.000).

The uncorrected formation energy is -1.1 eV/f.u.


Record 2
Computed, not measured: a PBEsol-optimized structure of TiBN2O at the meta-GGA SCAN level of DFT.

It has space group P4/mmm (No. 123), with a = 3.165 Å, b = 3.165 Å, c = 3.701 Å, α = 90.00°, β = 90.00° and γ = 90.00°. The inequivalent atoms are Ti at (0.000, 0.000, 0.000), B at (0.500, 0.500, 0.500), N at (0.000, 0.500, 0.500) and O at (0.500, 0.500, 0.000).

The uncorrected formation energy is -1.9 eV/f.u.


Record 3
Computed, not measured: a PBEsol-optimized structure of ZnBNO2 at the meta-GGA SCAN level of DFT.

It has space group P4/mmm (No. 123), with a = 3.709 Å, b = 3.709 Å, c = 2.891 Å, α = 90.00°, β = 90.00° and γ = 90.00°. The inequivalent atoms are Zn at (0.000, 0.000, 0.000), B at (0.500, 0.500, 0.500), N at (0.500, 0.500, 0.000) and O at (0.000, 0.500, 0.500).

The uncorrected formation energy is -0.5 eV/f.u.


Record 4
Computed, not measured: a PBEsol-optimized structure of BOs3N at the meta-GGA SCAN level of DFT.

It has space group Pm-3m (No. 221), with a = 3.936 Å, b = 3.936 Å, c = 3.936 Å, α = 90.00°, β = 90.00° and γ = 90.00°. The inequivalent atoms are B at (0.000, 0.000, 0.000), Os at (0.000, 0.500, 0.500) and N at (0.500, 0.500, 0.500).

The uncorrected formation energy is 7.6 eV/f.u.


Record 5
Computed, not measured: a PBEsol-optimized structure of BOsN2 at the meta-GGA SCAN level of DFT.

It has space group I-42d (No. 122), with a = 4.282 Å, b = 4.282 Å, c = 7.392 Å, α = 90.00°, β = 90.00° and γ = 90.00°. The inequivalent atoms are B at (0.000, 0.000, 0.000), Os at (0.000, 0.000, 0.500) and N at (0.159, 0.250, 0.125).

The uncorrected formation energy is 0.1 eV/f.u.


Record 6
Computed, not measured: a PBEsol-optimized structure of BPSeN2 at the meta-GGA SCAN level of DFT.

It has space group P4/mmm (No. 123), with a = 3.227 Å, b = 3.227 Å, c = 6.239 Å, α = 90.00°, β = 90.00° and γ = 90.00°. The inequivalent atoms are B at (0.000, 0.000, 0.000), P at (0.500, 0.500, 0.500), Se at (0.500, 0.500, 0.000) and N at (0.000, 0.500, 0.500).

The uncorrected formation energy is 5.3 eV/f.u.


Record 7
Computed, not measured: a PBEsol-optimized structure of Pr3B2N4 at the meta-GGA SCAN level of DFT.

It has space group Immm (No. 71), with a = 3.545 Å, b = 6.295 Å, c = 10.832 Å, α = 90.00°, β = 90.00° and γ = 90.00°. The inequivalent atoms are Pr at (0.000, 0.000, 0.000), Pr at (0.000, 0.500, 0.202), B at (0.000, 0.143, 0.500) and N at (0.000, 0.257, 0.381).

The uncorrected formation energy is -13.7 eV/f.u.


Record 8
Computed, not measured: a PBEsol-optimized structure of ZnReB2N at the meta-GGA SCAN level of DFT.

It has space group P4/mmm (No. 123), with a = 3.523 Å, b = 3.523 Å, c = 3.897 Å, α = 90.00°, β = 90.00° and γ = 90.00°. The inequivalent atoms are Zn at (0.000, 0.000, 0.000), Re at (0.500, 0.500, 0.000), B at (0.000, 0.500, 0.500) and N at (0.000, 0.000, 0.500).

The uncorrected formation energy is 8.0 eV/f.u.


Record 9
Computed, not measured: a PBEsol-optimized structure of BRhSe2N at the meta-GGA SCAN level of DFT.

It has space group P4/mmm (No. 123), with a = 4.994 Å, b = 4.994 Å, c = 3.550 Å, α = 90.00°, β = 90.00° and γ = 90.00°. The inequivalent atoms are B at (0.000, 0.000, 0.000), Rh at (0.500, 0.500, 0.500), Se at (0.000, 0.500, 0.500) and N at (0.500, 0.500, 0.000).

The uncorrected formation energy is 6.4 eV/f.u.


Record 10
Computed, not measured: a PBEsol-optimized structure of BRuSN2 at the meta-GGA SCAN level of DFT.

It has space group P4/mmm (No. 123), with a = 3.130 Å, b = 3.130 Å, c = 6.360 Å, α = 90.00°, β = 90.00° and γ = 90.00°. The inequivalent atoms are B at (0.000, 0.000, 0.000), Ru at (0.500, 0.500, 0.500), S at (0.000, 0.000, 0.500) and N at (0.000, 0.500, 0.000).

The uncorrected formation energy is 5.7 eV/f.u.


Record 11
Computed, not measured: a PBEsol-optimized structure of BS3N at the meta-GGA SCAN level of DFT.

It has space group Pm-3m (No. 221), with a = 4.067 Å, b = 4.067 Å, c = 4.067 Å, α = 90.00°, β = 90.00° and γ = 90.00°. The inequivalent atoms are B at (0.000, 0.000, 0.000), S at (0.000, 0.000, 0.500) and N at (0.500, 0.500, 0.500).

The uncorrected formation energy is 9.1 eV/f.u.


Record 12
Computed, not measured: a PBEsol-optimized structure of BS2N2 at the meta-GGA SCAN level of DFT.

It has space group P4/mmm (No. 123), with a = 3.190 Å, b = 3.190 Å, c = 6.444 Å, α = 90.00°, β = 90.00° and γ = 90.00°. The inequivalent atoms are B at (0.000, 0.000, 0.000), S at (0.500, 0.500, 0.000), S at (0.500, 0.500, 0.500) and N at (0.000, 0.500, 0.500).

The uncorrected formation energy is 8.9 eV/f.u.


Record 13
Computed, not measured: a PBEsol-optimized structure of BSeSN2 at the meta-GGA SCAN level of DFT.

It has space group P4/mmm (No. 123), with a = 3.500 Å, b = 3.500 Å, c = 6.128 Å, α = 90.00°, β = 90.00° and γ = 90.00°. The inequivalent atoms are B at (0.000, 0.000, 0.000), Se at (0.500, 0.500, 0.500), S at (0.500, 0.500, 0.000) and N at (0.000, 0.500, 0.500).

The energy above the most stable polymorph in this dataset comes out at 0.468 eV per atom. The uncorrected formation energy is 11.1 eV/f.u.


Record 14
Computed, not measured: a PBEsol-optimized structure of BSeSN2 at the meta-GGA SCAN level of DFT.

It has space group P4/mmm (No. 123), with a = 3.252 Å, b = 3.252 Å, c = 6.733 Å, α = 90.00°, β = 90.00° and γ = 90.00°. The inequivalent atoms are B at (0.000, 0.000, 0.000), Se at (0.500, 0.500, 0.000), S at (0.500, 0.500, 0.500) and N at (0.000, 0.500, 0.500).

The energy above the most stable polymorph in this dataset comes out at 0.000 eV per atom. The uncorrected formation energy is 8.7 eV/f.u.


Record 15
Computed, not measured: a PBEsol-optimized structure of TaBS2N at the meta-GGA SCAN level of DFT.

It has space group P4/mmm (No. 123), with a = 4.633 Å, b = 4.633 Å, c = 2.818 Å, α = 90.00°, β = 90.00° and γ = 90.00°. The inequivalent atoms are Ta at (0.000, 0.000, 0.000), B at (0.500, 0.500, 0.500), S at (0.000, 0.500, 0.500) and N at (0.500, 0.500, 0.000).

The uncorrected formation energy is 1.8 eV/f.u.


Record 16
Computed, not measured: a PBEsol-optimized structure of TcBSN2 at the meta-GGA SCAN level of DFT.

It has space group P4/mmm (No. 123), with a = 3.152 Å, b = 3.152 Å, c = 6.102 Å, α = 90.00°, β = 90.00° and γ = 90.00°. The inequivalent atoms are Tc at (0.000, 0.000, 0.000), B at (0.500, 0.500, 0.500), S at (0.500, 0.500, 0.000) and N at (0.000, 0.500, 0.500).

The uncorrected formation energy is 5.8 eV/f.u.


Record 17
Computed, not measured: a PBEsol-optimized structure of TlBS2N at the meta-GGA SCAN level of DFT.

It has space group P4/mmm (No. 123), with a = 5.910 Å, b = 5.910 Å, c = 2.630 Å, α = 90.00°, β = 90.00° and γ = 90.00°. The inequivalent atoms are Tl at (0.000, 0.000, 0.000), B at (0.500, 0.500, 0.500), S at (0.000, 0.500, 0.500) and N at (0.500, 0.500, 0.000).

The uncorrected formation energy is 1.2 eV/f.u.


Record 18
Computed, not measured: a PBEsol-optimized structure of BWSN2 at the meta-GGA SCAN level of DFT.

It has space group P4/mmm (No. 123), with a = 3.829 Å, b = 3.829 Å, c = 4.921 Å, α = 90.00°, β = 90.00° and γ = 90.00°. The inequivalent atoms are B at (0.000, 0.000, 0.000), W at (0.500, 0.500, 0.500), S at (0.500, 0.500, 0.000) and N at (0.000, 0.500, 0.500).

The uncorrected formation energy is 5.5 eV/f.u.


Record 19
Computed, not measured: a PBEsol-optimized structure of YBSN2 at the meta-GGA SCAN level of DFT.

It has space group P4/mmm (No. 123), with a = 4.428 Å, b = 4.428 Å, c = 5.324 Å, α = 90.00°, β = 90.00° and γ = 90.00°. The inequivalent atoms are Y at (0.000, 0.000, 0.000), B at (0.500, 0.500, 0.500), S at (0.000, 0.000, 0.500) and N at (0.000, 0.500, 0.000).

The uncorrected formation energy is 7.3 eV/f.u.


Record 20
Computed, not measured: a PBEsol-optimized structure of BSe2N at the meta-GGA SCAN level of DFT.

It has space group R-3m (No. 166, hexagonal axes), with a = 3.4234 Å, b = 3.4234 Å, c = 18.0698 Å, α = 90.00°, β = 90.00° and γ = 120.00°. The inequivalent atoms are B at (0.0000, 0.0000, 0.0000), Se at (0.0000, 0.0000, 0.4016) and N at (0.0000, 0.0000, 0.5000).

The uncorrected formation energy is 5.0 eV/f.u.